Entry 1:
3
Lattice="-2.284 1.015 -2.959 1.811 -3.423 -0.037 -5.602 -3.000 3.295" Properties=species:S:1:pos:R:3 comment="MgBr2, optimized geometry, DFT PBE-GGA" e_form_raw_mev_per_atom=-1486 sg="No. 164" dos_at_fermi_per_ev_cell=0.0 pbc="T T T"
Mg 0.000 0.000 0.000
Br -2.104 -1.099 -1.288
Br -3.971 -4.309 1.587

Entry 2:
18
Lattice="8.819 0.000 0.000 -4.409 7.637 0.000 0.000 0.000 7.149" Properties=species:S:1:pos:R:3 comment="Mg4Br5, optimized geometry, DFT PBE-GGA" polymorph_energy_ev_per_fu=0.000 e_form_raw_mev_per_atom=-736 sg="No. 193" dos_at_fermi_per_ev_cell=7.6 pbc="T T T"
Mg 0.000 0.000 0.000
Mg 0.000 0.000 3.575
Mg -1.926 3.336 1.787
Mg 2.483 4.301 1.787
Mg 3.853 0.000 1.787
Mg -2.483 4.301 5.362
Mg 1.926 3.336 5.362
Mg 4.966 0.000 5.362
Br -3.390 5.871 1.787
Br 1.020 1.766 1.787
Br 6.780 0.000 1.787
Br -1.020 1.766 5.362
Br 3.390 5.871 5.362
Br 2.039 0.000 5.362
Br 4.409 2.546 0.000
Br 0.000 5.092 3.575
Br 0.000 5.092 0.000
Br 4.409 2.546 3.575

Entry 3:
6
Lattice="4.909 0.000 -2.420 -1.193 4.762 -2.420 0.379 0.486 6.959" Properties=species:S:1:pos:R:3 comment="MgBr2, optimized geometry, DFT PBE-GGA" e_form_raw_mev_per_atom=-1403 sg="No. 141" dos_at_fermi_per_ev_cell=0.0 pbc="T T T"
Mg 1.858 2.381 -2.420
Mg 3.573 1.434 1.059
Br 2.865 3.671 -0.378
Br 2.566 0.143 -0.983
Br 1.231 1.577 2.496
Br 4.580 2.724 3.102

Entry 4:
6
Lattice="1.832 7.706 0.329 -1.832 7.706 0.329 0.000 5.283 8.412" Properties=species:S:1:pos:R:3 comment="MgBr2, optimized geometry, DFT PBE-GGA" e_form_raw_mev_per_atom=-1295 sg="No. 12" dos_at_fermi_per_ev_cell=0.0 pbc="T T T"
Mg 0.000 19.340 6.933
Mg 0.000 1.356 2.137
Br 0.000 9.828 6.559
Br 0.000 13.433 6.671
Br 0.000 10.868 2.511
Br 0.000 7.263 2.399

Entry 5:
4
Lattice="7.415 0.152 -0.054 4.129 6.161 0.054 -5.058 -4.463 3.084" Properties=species:S:1:pos:R:3 comment="MgBr3, optimized geometry, DFT PBE-GGA" e_form_raw_mev_per_atom=-781 sg="No. 71" dos_at_fermi_per_ev_cell=3.5 pbc="T T T"
Br 1.272 0.696 0.000
Br 4.065 -0.578 1.515
Br 4.500 2.460 0.000
Mg 2.422 2.427 1.569

Entry 6:
8
Lattice="-4.403 3.074 2.382 -2.934 -4.987 1.015 2.553 -0.429 5.273" Properties=species:S:1:pos:R:3 comment="MgBr3, optimized geometry, DFT PBE-GGA" e_form_raw_mev_per_atom=-421 sg="No. 223" dos_at_fermi_per_ev_cell=6.1 pbc="T T T"
Mg 0.000 0.000 0.000
Mg -2.391 -1.171 4.335
Br -4.769 -0.188 2.294
Br -2.567 -1.725 1.103
Br -0.924 -3.955 3.398
Br 0.543 -1.461 2.890
Br -1.563 1.430 2.509
Br -0.286 1.216 5.146

Entry 7:
5
Lattice="-1.506 -4.855 1.541 5.086 -1.345 0.733 -0.280 1.683 5.030" Properties=species:S:1:pos:R:3 comment="Mg4Br, optimized geometry, DFT PBE-GGA" e_form_raw_mev_per_atom=309 sg="No. 221" dos_at_fermi_per_ev_cell=3.7 pbc="T T T"
Mg 0.000 0.000 0.000
Mg -0.893 -1.586 3.286
Mg 2.403 0.169 2.882
Mg 1.790 -3.100 1.137
Br 1.650 -2.258 3.652

Entry 8:
16
Lattice="-3.731 2.485 5.414 -4.538 -4.268 -1.169 5.920 -8.478 7.971" Properties=species:S:1:pos:R:3 comment="MgBr3, optimized geometry, DFT PBE-GGA" e_form_raw_mev_per_atom=-922 sg="No. 62" dos_at_fermi_per_ev_cell=10.9 pbc="T T T"
Mg -2.047 -8.769 8.232
Mg -1.569 -4.294 1.944
Mg -0.781 -5.967 10.272
Mg -0.303 -1.492 3.984
Br -0.716 -9.681 6.273
Br -3.937 -2.691 5.408
Br 1.587 -7.570 6.809
Br -1.634 -0.579 5.944
Br 1.701 -6.443 10.982
Br -1.788 -1.679 1.828
Br -2.256 -6.155 8.107
Br -2.357 -6.244 3.516
Br -4.051 -3.817 1.234
Br -0.562 -8.582 10.389
Br -0.094 -4.106 4.109
Br 0.007 -4.017 8.701

Entry 9:
6
Lattice="0.442 1.384 5.333 -1.896 -4.996 -1.410 8.206 -3.154 0.139" Properties=species:S:1:pos:R:3 comment="MgBr5, optimized geometry, DFT PBE-GGA" polymorph_energy_ev_per_fu=2.563 e_form_raw_mev_per_atom=-104 sg="No. 191" dos_at_fermi_per_ev_cell=4.3 pbc="T T T"
Mg 0.000 0.000 0.000
Br -1.117 -2.869 0.837
Br -0.338 -0.742 3.085
Br 4.324 -0.885 2.736
Br 3.155 -4.075 -0.635
Br 3.376 -3.383 2.031

Entry 10:
3
Lattice="8.356 0.405 0.000 6.699 5.011 0.000 -7.528 -2.708 2.447" Properties=species:S:1:pos:R:3 comment="MgBr2, optimized geometry, DFT PBE-GGA" e_form_raw_mev_per_atom=-1060 sg="No. 139" dos_at_fermi_per_ev_cell=0.0 pbc="T T T"
Br 5.988 2.154 0.000
Br 9.068 3.262 0.000
Mg 0.000 0.000 0.000

Entry 11:
6
Lattice="-5.083 2.311 7.758 7.289 -3.719 -4.940 2.699 4.867 0.318" Properties=species:S:1:pos:R:3 comment="MgBr2, optimized geometry, DFT PBE-GGA" e_form_raw_mev_per_atom=-1414 sg="No. 63" dos_at_fermi_per_ev_cell=0.0 pbc="T T T"
Br 6.065 -3.123 -3.683
Br 3.617 -1.930 -1.171
Br 2.688 1.615 1.327
Br 0.241 2.808 3.839
Mg -1.471 0.551 4.051
Mg 7.776 -0.866 -3.895

Entry 12:
12
Lattice="-3.880 0.064 6.034 1.298 -6.202 -3.364 11.766 -1.649 7.583" Properties=species:S:1:pos:R:3 comment="MgBr2, optimized geometry, DFT PBE-GGA" e_form_raw_mev_per_atom=-717 sg="No. 194" pbc="T T T"
Mg 9.558 -5.513 6.204
Mg 1.949 -2.600 5.546
Mg -0.374 -2.274 4.048
Mg 7.235 -5.187 4.707
Br 0.000 0.000 0.000
Br 5.883 -0.825 3.791
Br 0.571 -4.520 4.680
Br 8.613 -3.266 5.573
Br 1.879 -1.411 3.327
Br -0.087 -1.379 6.384
Br 9.271 -6.408 3.869
Br 7.306 -6.376 6.926

Entry 13:
4
Lattice="-1.338 1.269 2.802 -2.954 0.321 -1.556 -2.828 -10.188 3.262" Properties=species:S:1:pos:R:3 comment="MgBr3, optimized geometry, DFT PBE-GGA" e_form_raw_mev_per_atom=-632 sg="No. 123" dos_at_fermi_per_ev_cell=2.2 pbc="T T T"
Br -2.541 -9.155 2.932
Br -2.853 -1.752 1.438
Br -1.700 -6.126 1.962
Mg -4.267 -6.846 3.069

Entry 14:
6
Lattice="-1.087 -6.232 -2.163 2.229 -5.170 -3.606 5.520 -8.030 6.775" Properties=species:S:1:pos:R:3 comment="MgBr5, optimized geometry, DFT PBE-GGA" polymorph_energy_ev_per_fu=0.000 e_form_raw_mev_per_atom=-531 sg="No. 8" dos_at_fermi_per_ev_cell=0.9 pbc="T T T"
Mg 3.579 -12.406 -0.907
Br 1.149 -11.246 -5.638
Br 0.765 -7.441 -3.720
Br 0.386 -3.645 -1.797
Br 2.582 -7.469 0.436
Br 3.434 -5.942 3.519

Entry 15:
8
Lattice="4.411 -6.477 0.000 4.411 6.477 0.000 0.000 0.000 3.863" Properties=species:S:1:pos:R:3 comment="Mg3Br5, optimized geometry, DFT PBE-GGA" polymorph_energy_ev_per_fu=0.426 e_form_raw_mev_per_atom=-957 sg="No. 65" dos_at_fermi_per_ev_cell=1.4 pbc="T T T"
Mg 4.411 0.000 0.000
Mg 4.411 -4.359 1.931
Mg 4.411 4.359 1.931
Br 0.000 0.000 0.000
Br 2.205 3.239 0.000
Br 2.205 -3.239 0.000
Br 2.740 0.000 1.931
Br 6.081 0.000 1.931

Entry 16:
4
Lattice="-1.488 0.026 3.632 5.580 -0.368 2.288 4.657 4.865 1.873" Properties=species:S:1:pos:R:3 comment="MgBr3, optimized geometry, DFT PBE-GGA" e_form_raw_mev_per_atom=-881 sg="No. 10" dos_at_fermi_per_ev_cell=3.2 pbc="T T T"
Br 0.959 0.468 0.389
Br 6.934 3.385 4.937
Br 4.160 1.781 1.691
Mg 1.816 1.137 2.856

Entry 17:
12
Lattice="6.731 0.000 0.000 0.000 6.731 0.000 0.000 0.000 6.731" Properties=species:S:1:pos:R:3 comment="MgBr2, optimized geometry, DFT PBE-GGA" e_form_raw_mev_per_atom=-1323 sg="No. 205" dos_at_fermi_per_ev_cell=0.0 pbc="T T T"
Mg 0.000 0.000 0.000
Mg 3.366 3.366 0.000
Mg 3.366 0.000 3.366
Mg 0.000 3.366 3.366
Br 4.402 4.402 2.329
Br 2.329 2.329 4.402
Br 1.036 5.695 4.402
Br 5.695 1.036 2.329
Br 2.329 1.036 1.036
Br 4.402 5.695 5.695
Br 5.695 2.329 5.695
Br 1.036 4.402 1.036

Entry 18:
6
Lattice="1.688 5.876 0.017 -1.688 5.876 0.017 0.000 2.963 7.419" Properties=species:S:1:pos:R:3 comment="Mg5Br, optimized geometry, DFT PBE-GGA" polymorph_energy_ev_per_fu=0.000 e_form_raw_mev_per_atom=-138 sg="No. 8" dos_at_fermi_per_ev_cell=2.3 pbc="T T T"
Mg 0.000 9.961 4.855
Mg 0.000 5.269 2.388
Mg 0.000 6.680 5.321
Mg 0.000 2.127 3.029
Mg 0.000 8.366 0.421
Br 0.000 11.233 0.169

Entry 19:
4
Lattice="-0.257 1.663 3.279 -3.008 -0.439 -2.084 -2.051 -10.526 5.176" Properties=species:S:1:pos:R:3 comment="MgBr3, optimized geometry, DFT PBE-GGA" e_form_raw_mev_per_atom=-763 sg="No. 187" dos_at_fermi_per_ev_cell=3.2 pbc="T T T"
Br -1.829 -9.386 4.616
Br -1.247 -6.402 3.148
Br -1.686 -1.669 2.785
Mg -2.712 -6.932 5.374

Entry 20:
6
Lattice="3.764 0.000 0.000 1.882 7.545 -0.185 1.882 1.520 8.022" Properties=species:S:1:pos:R:3 comment="MgBr2, optimized geometry, DFT PBE-GGA" e_form_raw_mev_per_atom=-1407 sg="No. 12" dos_at_fermi_per_ev_cell=0.0 pbc="T T T"
Br 3.764 3.704 7.377
Br 1.882 2.571 2.946
Br 5.645 6.494 4.891
Br 3.764 5.362 0.460
Mg 3.764 2.851 1.250
Mg 3.764 6.214 6.587

Entry 21:
6
Lattice="-1.176 1.309 -6.481 0.534 -1.968 -6.399 -7.342 -3.819 0.495" Properties=species:S:1:pos:R:3 comment="MgBr2, optimized geometry, DFT PBE-GGA" e_form_raw_mev_per_atom=-1341 sg="No. 8" dos_at_fermi_per_ev_cell=0.0 pbc="T T T"
Mg -3.381 -2.081 -12.571
Mg -0.322 -0.249 -3.187
Br -1.227 -0.930 -11.481
Br -4.146 -2.286 -4.858
Br -2.606 -1.563 -8.037
Br -6.686 -3.695 -8.167

Entry 22:
4
Lattice="-0.249 4.698 -0.551 -4.647 -0.139 0.908 0.884 0.588 4.616" Properties=species:S:1:pos:R:3 comment="MgBr3, optimized geometry, DFT PBE-GGA" e_form_raw_mev_per_atom=-188 sg="No. 221" dos_at_fermi_per_ev_cell=4.2 pbc="T T T"
Br -1.881 0.224 2.762
Br 0.318 2.643 2.033
Br -2.448 2.279 0.179
Mg 0.000 0.000 0.000

Entry 23:
5
Lattice="1.836 -3.179 0.000 1.836 3.179 0.000 0.000 0.000 13.807" Properties=species:S:1:pos:R:3 comment="Mg3Br2, optimized geometry, DFT PBE-GGA" polymorph_energy_ev_per_fu=0.000 e_form_raw_mev_per_atom=-641 sg="No. 164" dos_at_fermi_per_ev_cell=1.5 pbc="T T T"
Mg 0.000 0.000 0.000
Mg 1.836 -1.060 8.060
Mg 1.836 1.060 5.747
Br 1.836 -1.060 1.584
Br 1.836 1.060 12.223

Entry 24:
4
Lattice="-4.222 -0.950 3.094 3.647 -3.797 0.765 2.082 4.733 1.249" Properties=species:S:1:pos:R:3 comment="MgBr3, optimized geometry, DFT PBE-GGA" e_form_raw_mev_per_atom=-318 sg="No. 229" dos_at_fermi_per_ev_cell=3.8 pbc="T T T"
Br 0.000 0.000 0.000
Br -1.070 1.892 2.171
Br -0.287 -2.373 1.930
Mg 2.864 0.468 1.007

Entry 25:
6
Lattice="0.000 4.541 4.541 4.541 0.000 4.541 4.541 4.541 0.000" Properties=species:S:1:pos:R:3 comment="MgBr2, optimized geometry, DFT PBE-GGA" e_form_raw_mev_per_atom=267 sg="No. 227" dos_at_fermi_per_ev_cell=7.2 pbc="T T T"
Mg 4.541 4.541 4.541
Mg 6.812 6.812 6.812
Br 1.135 3.406 3.406
Br 3.406 1.135 3.406
Br 3.406 3.406 1.135
Br 1.135 1.135 1.135

Entry 26:
3
Lattice="-4.827 -0.276 0.146 -2.516 -0.550 -4.095 -2.212 -4.200 -0.934" Properties=species:S:1:pos:R:3 comment="MgBr2, optimized geometry, DFT PBE-GGA" e_form_raw_mev_per_atom=-1106 sg="No. 225" dos_at_fermi_per_ev_cell=0.0 pbc="T T T"
Br -7.166 -3.770 -3.662
Br -2.389 -1.257 -1.221
Mg 0.000 0.000 0.000

Entry 27:
4
Lattice="12.390 0.223 0.131 11.747 3.946 0.131 11.747 2.029 3.387" Properties=species:S:1:pos:R:3 comment="MgBr3, optimized geometry, DFT PBE-GGA" e_form_raw_mev_per_atom=-873 sg="No. 166" dos_at_fermi_per_ev_cell=4.1 pbc="T T T"
Br 10.445 1.804 1.062
Br 17.942 3.099 1.825
Br 25.440 4.394 2.587
Mg 0.000 0.000 0.000